In8Sn2Au: relaxed, PBE-GGA.

Output
- crystal system = monoclinic
- space group = C2/m, No. 12
- D(E_F) (states/eV/atom) = 0.3518
- DFT formation energy (eV per atom) = -0.01
- raw total energy (eV for the cell shown) = -33.30

Cell lengths 9.1259, 9.1259, 6.8597 Å; angles 103.82, 103.82, 32.83 degrees
Closest atoms and distances in Å follow each position.
Atoms (fractional coordinates):
In: 0.0011 0.0011 0.2380  2 Au 3.05, 1 Sn 3.09, 3 In 3.26-3.28
In: 0.2012 0.2012 0.0668  7 In 3.14-3.41, 1 Sn 3.36
In: 0.3462 0.3462 0.7135  1 Au 2.91, 3 Sn 3.18, 2 In 3.20
In: 0.3853 0.3853 0.2332  1 Au 2.86, 2 Sn 3.13, 1 In 3.14
In: 0.6147 0.6147 0.7668  1 Au 2.86, 2 Sn 3.13, 1 In 3.14
In: 0.6538 0.6538 0.2865  1 Au 2.91, 3 Sn 3.18, 2 In 3.20
In: 0.7988 0.7988 0.9332  7 In 3.14-3.41, 1 Sn 3.36
In: 0.9989 0.9989 0.7620  2 Au 3.05, 1 Sn 3.09, 3 In 3.26-3.28
Sn: 0.1592 0.1592 0.5612  8 In 3.09-3.42
Sn: 0.8408 0.8408 0.4388  8 In 3.09-3.42
Au: 0.5000 0.5000 0.0000  8 In 2.86-3.05

***

SrHf2Bi2: relaxed, PBE-GGA.

Output
- crystal system = tetragonal
- space group = I4/mmm, No. 139
- D(E_F) (states/eV/atom) = 0.7270
- DFT formation energy (eV per atom) = -0.28
- polymorph energy (0 for the lowest one) (eV per atom) = 0.000
- raw total energy (eV for the cell shown) = -30.73

Cell lengths 8.1644, 8.1644, 8.1644 Å; angles 148.57, 148.57, 45.05 degrees
Closest atoms and distances in Å follow each position.
Atoms (fractional coordinates):
Sr: 0.0000 0.0000 0.0000  8 Bi 3.56
Hf: 0.2500 0.7500 0.5000  4 Bi 3.02, 4 Hf 3.13
Hf: 0.7500 0.2500 0.5000  4 Bi 3.02, 4 Hf 3.13
Bi: 0.3868 0.3868 0.0000  4 Hf 3.02
Bi: 0.6132 0.6132 0.0000  4 Hf 3.02

***

Dy6Y3Tm: relaxed, PBE-GGA.

Output
- crystal system = orthorhombic
- space group = Cmc2_1, No. 36
- D(E_F) (states/eV/atom) = 1.2464
- DFT formation energy (eV per atom) = 0.13
- polymorph energy (0 for the lowest one) (eV per atom) = 0.000
- raw total energy (eV for the cell shown) = -100.31

Cell lengths 9.0188, 9.0188, 8.8823 Å; angles 90.00, 90.00, 117.53 degrees
Closest atoms and distances in Å follow each position.
Atoms (fractional coordinates):
Dy: 0.0529 0.9471 0.5000  7 Dy 3.33-3.66, 1 Tm 3.40
Dy: 0.1782 0.4710 0.0129  4 Dy 3.27-3.60, 1 Tm 3.37, 2 Y 3.39-3.43
Dy: 0.1872 0.3052 0.6877  5 Dy 3.27-3.61, 3 Y 3.28-3.62, 1 Tm 3.43
Dy: 0.2809 0.7191 0.6161  3 Y 3.38-3.40, 1 Tm 3.38, 3 Dy 3.48-3.66
Dy: 0.3052 0.1872 0.1877  5 Dy 3.27-3.61, 3 Y 3.28-3.62, 1 Tm 3.43
Dy: 0.4710 0.1782 0.5129  4 Dy 3.27-3.60, 1 Tm 3.37, 2 Y 3.39-3.43
Dy: 0.5290 0.8218 0.0129  4 Dy 3.27-3.60, 1 Tm 3.37, 2 Y 3.39-3.43
Dy: 0.6948 0.8128 0.6877  5 Dy 3.27-3.61, 3 Y 3.28-3.62, 1 Tm 3.43
Dy: 0.7191 0.2809 0.1161  3 Y 3.38-3.40, 1 Tm 3.38, 3 Dy 3.48-3.66
Dy: 0.8128 0.6948 0.1877  5 Dy 3.27-3.61, 3 Y 3.28-3.62, 1 Tm 3.43
Dy: 0.8218 0.5290 0.5129  4 Dy 3.27-3.60, 1 Tm 3.37, 2 Y 3.39-3.43
Dy: 0.9471 0.0529 0.0000  7 Dy 3.33-3.66, 1 Tm 3.40
Y: 0.0269 0.3256 0.3613  5 Dy 3.28-3.62, 2 Y 3.30-3.39
Y: 0.3256 0.0269 0.8613  5 Dy 3.28-3.62, 2 Y 3.30-3.39
Y: 0.4496 0.5504 0.3731  7 Dy 3.35-3.67, 2 Y 3.39, 1 Tm 3.71
Y: 0.5504 0.4496 0.8731  7 Dy 3.35-3.67, 2 Y 3.39, 1 Tm 3.71
Y: 0.6744 0.9731 0.3613  5 Dy 3.28-3.62, 2 Y 3.30-3.39
Y: 0.9731 0.6744 0.8613  5 Dy 3.28-3.62, 2 Y 3.30-3.39
Tm: 0.2200 0.7800 0.2502  6 Dy 3.37-3.43, 3 Y 3.71-3.77
Tm: 0.7800 0.2200 0.7502  6 Dy 3.37-3.43, 3 Y 3.71-3.77

***

Dy4Al2CdIn: relaxed, PBE-GGA.

Output
- crystal system = trigonal
- space group = R-3m, No. 166
- D(E_F) (states/eV/atom) = 0.6803
- DFT formation energy (eV per atom) = -0.39
- raw total energy (eV for the cell shown) = -32.63

Cell lengths 9.0084, 9.0084, 9.0084 Å; angles 33.59, 33.59, 33.59 degrees
Closest atoms and distances in Å follow each position.
Atoms (fractional coordinates):
Dy: 0.1245 0.1245 0.1245  1 Cd 3.17, 3 In 3.19, 4 Al 3.20-3.23
Dy: 0.3745 0.3745 0.3745  4 Al 3.14-3.18, 3 Cd 3.18, 1 In 3.20
Dy: 0.6255 0.6255 0.6255  4 Al 3.14-3.18, 3 Cd 3.18, 1 In 3.20
Dy: 0.8755 0.8755 0.8755  1 Cd 3.17, 3 In 3.19, 4 Al 3.20-3.23
Al: 0.2515 0.2515 0.2515  8 Dy 3.14-3.23
Al: 0.7485 0.7485 0.7485  8 Dy 3.14-3.23
Cd: 0.0000 0.0000 0.0000  8 Dy 3.17-3.18
In: 0.5000 0.5000 0.5000  8 Dy 3.19-3.20

***

Ga2GeI: relaxed, PBE-GGA.

Output
- crystal system = tetragonal
- space group = I-42d, No. 122
- D(E_F) (states/eV/atom) = 0.5789
- E_form (uncorrected) (meV per atom) = 72
- polymorph energy (0 for the lowest one) (eV per atom) = 0.000
- raw total energy (eV for the cell shown) = -23.87

Cell lengths 7.7659, 7.7659, 7.7659 Å; angles 130.82, 130.82, 72.09 degrees
Closest atoms and distances in Å follow each position.
Atoms (fractional coordinates):
Ga: 0.0553 0.6250 0.9303  2 Ge 2.54
Ga: 0.3750 0.3053 0.4303  2 Ge 2.54
Ga: 0.6947 0.1250 0.0697  2 Ge 2.54
Ga: 0.8750 0.9447 0.5697  2 Ge 2.54
Ge: 0.0000 0.0000 0.0000  4 Ga 2.54
Ge: 0.7500 0.2500 0.5000  4 Ga 2.54
I: 0.2500 0.7500 0.5000  4 Ga 3.06
I: 0.5000 0.5000 0.0000  4 Ga 3.06

***

CuTc2: relaxed, PBE-GGA.

Output
- crystal system = tetragonal
- space group = P4/mmm, No. 123
- D(E_F) (states/eV/atom) = 0.9296
- DFT formation energy (eV per atom) = 1.01
- polymorph energy (0 for the lowest one) (eV per atom) = 0.925
- raw total energy (eV for the cell shown) = -21.79

Cell lengths 4.3393, 4.3393, 2.5258 Å; angles 90.00, 90.00, 90.00 degrees
Closest atoms and distances in Å follow each position.
Atoms (fractional coordinates):
Cu: 0.0000 0.0000 0.0000  8 Tc 2.51, 2 Cu 2.53
Tc: 0.0000 0.5000 0.5000  4 Cu 2.51, 2 Tc 2.53
Tc: 0.5000 0.0000 0.5000  4 Cu 2.51, 2 Tc 2.53

***

GaCuGe: relaxed, PBE-GGA.

Output
- crystal system = triclinic
- space group = P-1, No. 2
- D(E_F) (states/eV/atom) = 0.1311
- DFT formation energy (eV per atom) = 0.11
- raw total energy (eV for the cell shown) = -22.85

Cell lengths 4.6556, 4.7921, 6.1244 Å; angles 67.06, 79.29, 61.43 degrees
Closest atoms and distances in Å follow each position.
Atoms (fractional coordinates):
Ga: 0.1220 0.1855 0.9997  2 Ga 2.52-2.67, 2 Cu 2.68, 2 Ge 2.69
Ga: 0.8780 0.8145 0.0003  2 Ga 2.52-2.67, 2 Cu 2.68, 2 Ge 2.69
Cu: 0.0001 0.2942 0.4115  4 Ge 2.42-2.58, 2 Cu 2.59-2.60, 2 Ga 2.68
Cu: 0.9999 0.7058 0.5885  4 Ge 2.42-2.58, 2 Cu 2.59-2.60, 2 Ga 2.68
Ge: 0.5001 0.1952 0.6099  4 Cu 2.42-2.58, 2 Ga 2.69, 2 Ge 2.70
Ge: 0.4999 0.8048 0.3901  4 Cu 2.42-2.58, 2 Ga 2.69, 2 Ge 2.70

***

Na2ThTe6Pb3: relaxed, PBE-GGA.

Output
- crystal system = monoclinic
- space group = C2/m, No. 12
- D(E_F) (states/eV/atom) = 0.0000
- E_form (uncorrected) (meV per atom) = -765
- raw total energy (eV for the cell shown) = -49.21

Cell lengths 7.9608, 7.9608, 8.0161 Å; angles 99.43, 99.43, 119.95 degrees
Closest atoms and distances in Å follow each position.
Atoms (fractional coordinates):
Na: 0.1681 0.8319 0.0000  6 Te 3.25-3.31
Na: 0.8319 0.1681 0.0000  6 Te 3.25-3.31
Th: 0.5000 0.5000 0.0000  6 Te 3.14-3.17
Te: 0.0987 0.4185 0.7592  1 Th 3.14, 2 Na 3.25-3.26, 3 Pb 3.26-3.42
Te: 0.2609 0.2609 0.2477  1 Th 3.17, 3 Pb 3.21-3.34, 2 Na 3.31
Te: 0.4185 0.0987 0.7592  1 Th 3.14, 2 Na 3.25-3.26, 3 Pb 3.26-3.42
Te: 0.5815 0.9013 0.2408  1 Th 3.14, 2 Na 3.25-3.26, 3 Pb 3.26-3.42
Te: 0.7391 0.7391 0.7523  1 Th 3.17, 3 Pb 3.21-3.34, 2 Na 3.31
Te: 0.9013 0.5815 0.2408  1 Th 3.14, 2 Na 3.25-3.26, 3 Pb 3.26-3.42
Pb: 0.0000 0.0000 0.5000  6 Te 3.26-3.34
Pb: 0.3363 0.6637 0.5000  6 Te 3.21-3.42
Pb: 0.6637 0.3363 0.5000  6 Te 3.21-3.42

***

Zr3Tl2OF12: relaxed, PBE-GGA.

Output
- crystal system = trigonal
- space group = R-3m, No. 166
- D(E_F) (states/eV/atom) = 0.0000
- E_form (uncorrected) (meV per atom) = -3292
- raw total energy (eV for the cell shown) = -234.10

Cell lengths 11.1249, 11.1249, 11.1249 Å; angles 41.37, 41.37, 41.37 degrees
Closest atoms and distances in Å follow each position.
Atoms (fractional coordinates):
Zr: 0.0757 0.0757 0.5292  7 F 2.03-2.23, 1 O 2.10
Zr: 0.0757 0.5292 0.0757  7 F 2.03-2.23, 1 O 2.10
Zr: 0.4708 0.9243 0.9243  7 F 2.03-2.23, 1 O 2.10
Zr: 0.5292 0.0757 0.0757  7 F 2.03-2.23, 1 O 2.10
Zr: 0.9243 0.4708 0.9243  7 F 2.03-2.23, 1 O 2.10
Zr: 0.9243 0.9243 0.4708  7 F 2.03-2.23, 1 O 2.10
Tl: 0.0000 0.0000 0.0000  6 F 2.84
Tl: 0.3599 0.3599 0.3599  6 F 2.83-3.01
Tl: 0.5000 0.5000 0.5000  6 F 2.77
Tl: 0.6401 0.6401 0.6401  6 F 2.83-3.01
O: 0.2131 0.2131 0.2131  3 Zr 2.10
O: 0.7869 0.7869 0.7869  3 Zr 2.10
F: 0.0960 0.5903 0.5903  2 Zr 2.23, 1 O 2.45
F: 0.1283 0.7929 0.7929  2 Zr 2.19
F: 0.1475 0.5000 0.8525  2 Zr 2.18, 1 F 2.32
F: 0.1475 0.8525 0.5000  2 Zr 2.18, 1 F 2.32
F: 0.1485 0.1485 0.5830  1 Zr 2.03
F: 0.1485 0.5830 0.1485  1 Zr 2.03
F: 0.2071 0.2071 0.8717  2 Zr 2.19
F: 0.2071 0.8717 0.2071  2 Zr 2.19
F: 0.4097 0.4097 0.9040  2 Zr 2.23, 1 O 2.45
F: 0.4097 0.9040 0.4097  2 Zr 2.23, 1 O 2.45
F: 0.4170 0.8515 0.8515  1 Zr 2.03
F: 0.5000 0.1475 0.8525  2 Zr 2.18, 1 F 2.32
F: 0.5000 0.8525 0.1475  2 Zr 2.18, 1 F 2.32
F: 0.5830 0.1485 0.1485  1 Zr 2.03
F: 0.5903 0.0960 0.5903  2 Zr 2.23, 1 O 2.45
F: 0.5903 0.5903 0.0960  2 Zr 2.23, 1 O 2.45
F: 0.7929 0.1283 0.7929  2 Zr 2.19
F: 0.7929 0.7929 0.1283  2 Zr 2.19
F: 0.8515 0.4170 0.8515  1 Zr 2.03
F: 0.8515 0.8515 0.4170  1 Zr 2.03
F: 0.8525 0.1475 0.5000  2 Zr 2.18, 1 F 2.32
F: 0.8525 0.5000 0.1475  2 Zr 2.18, 1 F 2.32
F: 0.8717 0.2071 0.2071  2 Zr 2.19
F: 0.9040 0.4097 0.4097  2 Zr 2.23, 1 O 2.45

***

Ti3MoAs4: relaxed, PBE-GGA.

Output
- crystal system = trigonal
- space group = P-3m1, No. 164
- D(E_F) (states/eV/atom) = 0.8590
- DFT formation energy (eV per atom) = -0.70
- raw total energy (eV for the cell shown) = -58.75

Cell lengths 3.4624, 3.4624, 13.1988 Å; angles 90.00, 90.00, 120.00 degrees
Closest atoms and distances in Å follow each position.
Atoms (fractional coordinates):
Ti: 0.0000 0.0000 0.0000  6 As 2.59
Ti: 0.0000 0.0000 0.2484  6 As 2.58-2.61
Ti: 0.0000 0.0000 0.7516  6 As 2.58-2.61
Mo: 0.0000 0.0000 0.5000  6 As 2.59
As: 0.3333 0.6667 0.3750  3 Mo 2.59, 3 Ti 2.61
As: 0.3333 0.6667 0.8755  6 Ti 2.58-2.59
As: 0.6667 0.3333 0.1245  6 Ti 2.58-2.59
As: 0.6667 0.3333 0.6250  3 Mo 2.59, 3 Ti 2.61

***

Al2HgSe: relaxed, PBE-GGA.

Output
- crystal system = trigonal
- space group = R3m, No. 160
- D(E_F) (states/eV/atom) = 0.1028
- E_form (uncorrected) (meV per atom) = -140
- raw total energy (eV for the cell shown) = -11.83

Cell lengths 8.0318, 8.0318, 8.0318 Å; angles 26.19, 26.19, 26.19 degrees
Closest atoms and distances in Å follow each position.
Atoms (fractional coordinates):
Al: 0.0000 0.0000 0.0000  3 Hg 2.80, 3 Al 2.88
Al: 0.2486 0.2486 0.2486  3 Se 2.50
Hg: 0.7461 0.7461 0.7461  3 Al 2.80
Se: 0.5239 0.5239 0.5239  3 Al 2.50

***

CrFe2Ag: relaxed, PBE-GGA.

Output
- crystal system = tetragonal
- space group = I-4m2, No. 119
- D(E_F) (states/eV/atom) = 1.2198
- DFT formation energy (eV per atom) = 0.41
- polymorph energy (0 for the lowest one) (eV per atom) = 0.087
- raw total energy (eV for the cell shown) = -27.77

Cell lengths 4.6462, 4.6462, 4.6462 Å; angles 132.20, 132.20, 69.91 degrees
Closest atoms and distances in Å follow each position.
Atoms (fractional coordinates):
Cr: 0.0000 0.0000 0.0000  8 Fe 2.66-2.68, 4 Ag 2.68
Fe: 0.2500 0.7500 0.5000  4 Ag 2.66, 4 Cr 2.68, 4 Fe 2.68
Fe: 0.5000 0.5000 0.0000  4 Cr 2.66, 4 Ag 2.68, 4 Fe 2.68
Ag: 0.7500 0.2500 0.5000  8 Fe 2.66-2.68, 4 Cr 2.68